1.
10
Lattice="11.510 -2.592 0.000 11.510 2.592 0.000 -3.743 0.000 8.521" Properties=species:S:1:pos:R:3 comment="Rb5NaHg4 (PBE, relaxed)" crystal_system=monoclinic sg="C2/m, No. 12" delta_e_f_ev_per_fu=-1.90 dos_at_fermi_per_ev_atom=0.512 energy_ev_per_cell=-9.26 magmom_total_mub_per_fu=0.000 pbc="T T T"
Rb 0.000 0.000 0.000
Rb 3.632 0.000 7.600
Rb 6.478 0.000 4.133
Rb 12.798 0.000 4.388
Rb 15.645 0.000 0.921
Na -1.871 0.000 4.261
Hg -0.136 0.000 6.886
Hg 9.591 0.000 2.211
Hg 9.685 0.000 6.310
Hg 19.413 0.000 1.635



2.
5
Lattice="7.039 0.000 0.000 0.000 7.039 0.000 0.000 0.000 7.039" Properties=species:S:1:pos:R:3 comment="Rb3NaHg (PBE, relaxed)" crystal_system=cubic relative_energy_mev_per_atom=85.4 sg="Pm-3m, No. 221" delta_e_f_ev_per_fu=-0.03 dos_at_fermi_per_ev_atom=1.078 energy_ev_per_cell=-4.55 magmom_total_mub_per_fu=0.000 pbc="T T T"
Rb 0.000 0.000 3.519
Rb 0.000 3.519 0.000
Rb 3.519 0.000 0.000
Na 3.519 3.519 3.519
Hg 0.000 0.000 0.000



3.
5
Lattice="-2.347 2.347 11.603 2.347 -2.347 11.603 2.347 2.347 -11.603" Properties=species:S:1:pos:R:3 comment="Rb2Na2Hg (PBE, relaxed)" crystal_system=tetragonal relative_energy_mev_per_atom=68.2 sg="I4/mmm, No. 139" delta_e_f_ev_per_fu=-0.10 dos_at_fermi_per_ev_atom=0.627 energy_ev_per_cell=-4.98 magmom_total_mub_per_fu=0.000 pbc="T T T"
Rb 0.000 0.000 2.149
Rb 0.000 0.000 21.057
Na 2.347 0.000 5.802
Na 0.000 2.347 5.802
Hg 0.000 0.000 11.603



4.
6
Lattice="5.984 0.000 0.000 -2.992 5.183 0.000 0.000 0.000 9.120" Properties=species:S:1:pos:R:3 comment="Rb2Na3Hg (PBE, relaxed)" crystal_system=hexagonal relative_energy_mev_per_atom=30.0 sg="P-6m2, No. 187" delta_e_f_ev_per_fu=-0.20 dos_at_fermi_per_ev_atom=0.369 energy_ev_per_cell=-6.40 magmom_total_mub_per_fu=0.000 pbc="T T T"
Rb 0.000 0.000 2.127
Rb 0.000 0.000 6.993
Na 0.000 3.455 4.560
Na 2.992 1.728 0.000
Na 2.992 1.728 4.560
Hg 0.000 3.455 0.000



5.
5
Lattice="-2.928 3.372 6.256 2.928 -3.372 6.256 2.928 3.372 -6.256" Properties=species:S:1:pos:R:3 comment="Rb2Na2Hg (PBE, relaxed)" crystal_system=orthorhombic relative_energy_mev_per_atom=26.7 sg="Immm, No. 71" delta_e_f_ev_per_fu=-0.31 dos_at_fermi_per_ev_atom=0.775 energy_ev_per_cell=-5.19 magmom_total_mub_per_fu=0.000 pbc="T T T"
Rb 0.000 0.000 2.390
Rb 0.000 0.000 10.122
Na 2.928 1.746 0.000
Na 0.000 1.626 6.256
Hg 0.000 3.372 0.000



6.
4
Lattice="2.632 1.519 6.400 -2.632 1.519 6.400 0.000 -3.039 6.400" Properties=species:S:1:pos:R:3 comment="RbNaHg2 (PBE, relaxed)" crystal_system=trigonal relative_energy_mev_per_atom=19.8 sg="R3m, No. 160" delta_e_f_ev_per_fu=-0.83 dos_at_fermi_per_ev_atom=0.264 energy_ev_per_cell=-3.72 magmom_total_mub_per_fu=0.000 pbc="T T T"
Rb 0.000 0.000 0.000
Na 0.000 0.000 3.654
Hg 0.000 0.000 8.964
Hg 0.000 0.000 15.285